Below is a relaxed K2HoGaS4 crystal, with properties calculated at the GGA-PBE level.

Lattice parameters (Å, degrees): 8.1591 8.1591 8.2705 120.37 120.37 90.90
With the nearest neighbours (Å) after each atom.
Atoms (fractional coordinates):
K (0.5000, 0.0000, 0.0000)  6 S 3.01-3.06
K (0.5000, 0.0000, 0.5000)  6 S 3.01-3.06
K (0.0000, 0.0000, 0.5000)  6 S 3.14-3.17
K (0.5000, 0.5000, 0.0000)  6 S 3.14-3.17
Ho (0.0000, 0.5000, 0.0000)  6 S 2.74-2.81
Ho (0.0000, 0.5000, 0.5000)  6 S 2.74-2.81
Ga (0.5000, 0.5000, 0.5000)  6 S 2.58-2.69
Ga (0.0000, 0.0000, 0.0000)  6 S 2.58-2.69
S (0.2059, 0.7446, 0.9749)  1 Ga 2.69, 2 Ho 2.74, 1 K 3.01
S (0.7554, 0.2941, 0.5251)  1 Ga 2.69, 2 Ho 2.74, 1 K 3.01
S (0.2446, 0.7059, 0.4749)  1 Ga 2.69, 2 Ho 2.74, 1 K 3.01
S (0.7941, 0.2554, 0.0251)  1 Ga 2.69, 2 Ho 2.74, 1 K 3.01
S (0.7628, 0.7408, 0.9539)  2 Ga 2.58-2.61, 1 Ho 2.81
S (0.7592, 0.7372, 0.5461)  2 Ga 2.58-2.61, 1 Ho 2.81
S (0.2408, 0.2628, 0.4539)  2 Ga 2.58-2.61, 1 Ho 2.81
S (0.2372, 0.2592, 0.0461)  2 Ga 2.58-2.61, 1 Ho 2.81

Results
calculated total energy	-4.527	eV/atom
SG	C2/c (15)
E_form (uncorrected)	-1.239	eV per atom

---

Below is a relaxed MgPaGa2 crystal, with properties calculated at the GGA-PBE level.

Lattice parameters (Å, degrees): 4.8778 4.8778 4.8778 60.00 60.00 60.00
With the nearest neighbours (Å) after each atom.
Atoms (fractional coordinates):
Mg (0.5000, 0.5000, 0.5000)  8 Ga 2.99
Pa (0.0000, 0.0000, 0.0000)  8 Ga 2.99
Ga (0.2500, 0.2500, 0.2500)  4 Pa 2.99, 4 Mg 2.99
Ga (0.7500, 0.7500, 0.7500)  4 Pa 2.99, 4 Mg 2.99

Results
calculated total energy	-4.501	eV/atom
SG	Fm-3m (225)

---

Repeat the first record exactly.
Below is a relaxed K2HoGaS4 crystal, with properties calculated at the GGA-PBE level.

Lattice parameters (Å, degrees): 8.1591 8.1591 8.2705 120.37 120.37 90.90
With the nearest neighbours (Å) after each atom.
Atoms (fractional coordinates):
K (0.5000, 0.0000, 0.0000)  6 S 3.01-3.06
K (0.5000, 0.0000, 0.5000)  6 S 3.01-3.06
K (0.0000, 0.0000, 0.5000)  6 S 3.14-3.17
K (0.5000, 0.5000, 0.0000)  6 S 3.14-3.17
Ho (0.0000, 0.5000, 0.0000)  6 S 2.74-2.81
Ho (0.0000, 0.5000, 0.5000)  6 S 2.74-2.81
Ga (0.5000, 0.5000, 0.5000)  6 S 2.58-2.69
Ga (0.0000, 0.0000, 0.0000)  6 S 2.58-2.69
S (0.2059, 0.7446, 0.9749)  1 Ga 2.69, 2 Ho 2.74, 1 K 3.01
S (0.7554, 0.2941, 0.5251)  1 Ga 2.69, 2 Ho 2.74, 1 K 3.01
S (0.2446, 0.7059, 0.4749)  1 Ga 2.69, 2 Ho 2.74, 1 K 3.01
S (0.7941, 0.2554, 0.0251)  1 Ga 2.69, 2 Ho 2.74, 1 K 3.01
S (0.7628, 0.7408, 0.9539)  2 Ga 2.58-2.61, 1 Ho 2.81
S (0.7592, 0.7372, 0.5461)  2 Ga 2.58-2.61, 1 Ho 2.81
S (0.2408, 0.2628, 0.4539)  2 Ga 2.58-2.61, 1 Ho 2.81
S (0.2372, 0.2592, 0.0461)  2 Ga 2.58-2.61, 1 Ho 2.81

Results
calculated total energy	-4.527	eV/atom
SG	C2/c (15)
E_form (uncorrected)	-1.239	eV per atom

---

Q: Which value of calculated total energy does entry 2 give?
A: -4.501 eV/atom